Entry from Alexandria: Nd3Cu4Sn4 at its PBEsol-relaxed geometry (SCAN).

DFT total energy, eV for the cell shown: -342.08
Formation energy, eV/f.u.: -6.85
Calculated volume, Å³ per cell: 231.5

Cell: 4.525 6.903 8.483 Å, 114.01 105.47 90.00°
Positions (direct):
Nd  0.000  0.500  0.000
Nd  0.133  0.133  0.266
Nd  0.867  0.867  0.734
Cu  0.668  0.852  0.337
Cu  0.668  0.485  0.337
Cu  0.332  0.515  0.663
Cu  0.332  0.148  0.663
Sn  0.500  0.798  0.000
Sn  0.500  0.202  0.000
Sn  0.216  0.716  0.433
Sn  0.784  0.284  0.567

=====

Entry from Alexandria: NdCu9Sn4 at its PBEsol-relaxed geometry (SCAN).

DFT total energy, eV for the cell shown: -653.10
Formation energy, eV/f.u.: -2.49
Calculated volume, Å³ per cell: 442.0

Cell: 8.506 8.573 8.506 Å, 119.74 90.00 119.74°
Positions (direct):
Nd  0.250  0.500  0.250
Nd  0.750  0.500  0.750
Cu  0.800  0.000  0.054
Cu  0.219  0.653  0.719
Cu  0.281  0.347  0.565
Cu  0.935  0.653  0.219
Cu  0.446  0.000  0.700
Cu  0.300  0.000  0.446
Cu  0.200  0.000  0.946
Cu  0.781  0.347  0.281
Cu  0.946  0.000  0.800
Cu  0.065  0.347  0.781
Cu  0.719  0.653  0.435
Cu  0.054  0.000  0.200
Cu  0.700  0.000  0.554
Cu  0.565  0.347  0.065
Cu  0.554  0.000  0.300
Cu  0.500  0.000  0.000
Cu  0.000  0.000  0.500
Cu  0.435  0.653  0.935
Sn  0.686  0.744  0.186
Sn  0.186  0.744  0.058
Sn  0.314  0.256  0.814
Sn  0.058  0.744  0.558
Sn  0.942  0.256  0.442
Sn  0.442  0.256  0.314
Sn  0.814  0.256  0.942
Sn  0.558  0.744  0.686

=====

Entry from Alexandria: Nd2CuTe4 at its PBEsol-relaxed geometry (SCAN).

DFT total energy, eV for the cell shown: -519.40
Calculated volume, Å³ per cell: 394.1
E_form (uncorrected), meV per atom: -1191

Cell: 6.307 7.578 8.245 Å, 90.00 90.00 90.18°
Positions (direct):
Nd  0.503  0.231  0.943
Nd  0.997  0.761  0.062
Nd  0.003  0.239  0.562
Nd  0.497  0.769  0.443
Cu  0.307  0.583  0.791
Cu  0.693  0.417  0.291
Te  0.489  0.380  0.584
Te  0.985  0.621  0.416
Te  0.015  0.379  0.916
Te  0.511  0.620  0.084
Te  0.251  0.917  0.752
Te  0.749  0.083  0.252
Te  0.247  0.076  0.251
Te  0.753  0.924  0.751

=====

Entry from Alexandria: CuNi3 at its PBEsol-relaxed geometry (SCAN).

DFT total energy, eV for the cell shown: -63.18
Formation energy, eV/f.u.: 0.54
Calculated volume, Å³ per cell: 42.3

Cell: 2.396 4.587 4.587 Å, 117.03 100.03 100.03°
Each line ends with the local moment (μB).
Positions (direct):
Ni  0.000  0.500  0.500  0.60
Ni  0.500  0.500  0.000  0.60
Ni  0.500  0.000  0.500  0.60
Cu  0.000  0.000  0.000  0.01

=====

Entry from Alexandria: CuNi3 at its PBEsol-relaxed geometry (SCAN).

DFT total energy, eV for the cell shown: -63.53
Formation energy, eV/f.u.: 0.18
Calculated volume, Å³ per cell: 42.2

Cell: 2.459 3.477 4.933 Å, 90.00 90.00 90.00°
Each line ends with the local moment (μB).
Positions (direct):
Ni  0.000  0.000  0.500  0.78
Ni  0.500  0.500  0.255  0.68
Ni  0.500  0.500  0.745  0.68
Cu  0.000  0.000  0.000  0.03

=====

Entry from Alexandria: CuNi5 at its PBEsol-relaxed geometry (SCAN).

DFT total energy, eV for the cell shown: -95.68
Formation energy, eV/f.u.: 0.38
Distance to the lowest polymorph of the same formula, eV/f.u.: 0.233
Calculated volume, Å³ per cell: 63.0

Cell: 2.449 4.032 6.497 Å, 90.00 100.86 90.00°
Each line ends with the local moment (μB).
Positions (direct):
Cu  0.000  0.000  0.000  0.01
Ni  0.332  0.000  0.664  0.78
Ni  0.668  0.000  0.336  0.80
Ni  0.443  0.500  0.887  0.78
Ni  0.778  0.500  0.556  0.81
Ni  0.112  0.500  0.224  0.76

=====

Entry from Alexandria: Cu2Ni at its PBEsol-relaxed geometry (SCAN).

DFT total energy, eV for the cell shown: -92.80
Formation energy, eV/f.u.: 0.17
Calculated volume, Å³ per cell: 65.5

Cell: 4.082 4.304 4.302 Å, 120.01 90.00 90.00°
Positions (direct):
Cu  0.250  0.499  0.330
Cu  0.750  0.501  0.670
Cu  0.250  0.168  0.670
Cu  0.750  0.832  0.330
Ni  0.250  0.839  0.000
Ni  0.750  0.161  0.000

=====

Entry from Alexandria: Cu2Ni at its PBEsol-relaxed geometry (SCAN).

DFT total energy, eV for the cell shown: -92.83
Formation energy, eV/f.u.: 0.15
Calculated volume, Å³ per cell: 65.4

Cell: 2.483 4.793 5.923 Å, 105.43 90.00 105.01°
Positions (direct):
Cu  0.000  0.001  0.999
Cu  0.666  0.332  0.334
Cu  0.334  0.669  0.668
Cu  0.389  0.777  0.277
Ni  0.058  0.115  0.614
Ni  0.720  0.440  0.940

=====

Entry from Alexandria: Cu2Ni3 at its PBEsol-relaxed geometry (SCAN).

DFT total energy, eV for the cell shown: -78.70
Formation energy, eV/f.u.: 0.21
Calculated volume, Å³ per cell: 53.3

Cell: 2.464 2.464 10.230 Å, 83.08 83.08 60.00°
Each line ends with the local moment (μB).
Positions (direct):
Cu  0.600  0.600  0.201  0.01
Cu  0.400  0.400  0.799  0.01
Ni  0.000  0.000  0.000  0.50
Ni  0.199  0.199  0.402  0.74
Ni  0.801  0.801  0.598  0.74

=====

Entry from Alexandria: Cu4Ni3 at its PBEsol-relaxed geometry (SCAN).

DFT total energy, eV for the cell shown: -109.05
Formation energy, eV/f.u.: 0.27
Calculated volume, Å³ per cell: 75.7

Cell: 2.478 2.478 12.455 Å, 95.71 95.71 90.00°
Each line ends with the local moment (μB).
Positions (direct):
Cu  0.144  0.144  0.289  0.00
Cu  0.429  0.429  0.858  -0.01
Cu  0.571  0.571  0.142  -0.01
Cu  0.856  0.856  0.711  0.00
Ni  0.000  0.000  0.000  0.01
Ni  0.284  0.284  0.568  0.72
Ni  0.716  0.716  0.432  0.72

=====

Entry from Alexandria: Cu5Ni3 at its PBEsol-relaxed geometry (SCAN).

DFT total energy, eV for the cell shown: -124.01
Formation energy, eV/f.u.: 0.51
Calculated volume, Å³ per cell: 86.8

Cell: 3.495 4.982 4.982 Å, 90.14 90.00 90.00°
Each line ends with the local moment (μB).
Positions (direct):
Cu  0.000  0.000  0.000  0.01
Cu  0.000  0.000  0.500  0.01
Cu  0.000  0.500  0.000  0.01
Cu  0.500  0.750  0.250  0.01
Cu  0.500  0.250  0.750  0.01
Ni  0.000  0.500  0.500  0.41
Ni  0.500  0.253  0.253  0.23
Ni  0.500  0.747  0.747  0.23

=====

Entry from Alexandria: Cu2Ni at its PBEsol-relaxed geometry (SCAN).

DFT total energy, eV for the cell shown: -138.75
Formation energy, eV/f.u.: 0.32
Calculated volume, Å³ per cell: 99.0

Cell: 2.440 6.845 6.845 Å, 120.00 90.00 90.00°
Positions (direct):
Cu  0.000  0.694  0.694
Cu  0.000  0.000  0.306
Cu  0.000  0.306  0.000
Cu  0.500  0.361  0.361
Cu  0.500  0.000  0.639
Cu  0.500  0.639  0.000
Ni  0.000  0.667  0.333
Ni  0.000  0.333  0.667
Ni  0.500  0.000  0.000

=====

Number 1: magnetization 0.000 μB/atom. Number 2: magnetization 0.000 μB/atom. Number 3: magnetization 0.000 μB/atom. Number 4: magnetization 0.408 μB/atom. Number 5: magnetization 0.491 μB/atom. Number 6: magnetization 0.595 μB/atom. Number 7: magnetization 0.000 μB/atom. Number 8: magnetization 0.000 μB/atom. Number 9: magnetization 0.357 μB/atom. Number 10: magnetization 0.186 μB/atom. Number 11: magnetization 0.104 μB/atom. Number 12: magnetization 0.000 μB/atom.